Entry 1:
# meta-GGA SCAN NaBH4O4, single point on PBEsol structure
data_NaBH4O4
_space_group_name_H-M_alt 'P 1 21/c 1'
_space_group_IT_number 14
_space_group_name_Hall '-P 2ybc'
_cell_length_a 6.1514
_cell_length_b 10.1191
_cell_length_c 5.9102
_cell_angle_alpha 90.00
_cell_angle_beta 113.41
_cell_angle_gamma 90.00
loop_
_atom_site_label
_atom_site_fract_x
_atom_site_fract_y
_atom_site_fract_z
_atom_site_occupancy
Na1 0.2390 0.0183 0.2511 1
B1 0.2708 0.5894 0.2289 1
H1 0.0337 0.1174 0.5816 1
H2 0.1376 0.7005 0.4290 1
H3 0.3808 0.0972 0.8680 1
H4 0.5003 0.2484 0.6609 1
O1 0.1380 0.6435 0.9797 1
O2 0.1424 0.6033 0.3889 1
O3 0.3169 0.0533 0.7011 1
O4 0.4915 0.1551 0.1634 1
# spin magnetization: 0.00 μB/cell
# raw total energy: -267.19 eV per cell

=====

Entry 2:
# meta-GGA SCAN LiVF4, single point on PBEsol structure
data_LiVF4
_space_group_name_H-M_alt 'P b c n'
_space_group_IT_number 60
_space_group_name_Hall '-P 2n 2ab'
_cell_length_a 4.4743
_cell_length_b 11.4303
_cell_length_c 4.8073
_cell_angle_alpha 90.00
_cell_angle_beta 90.00
_cell_angle_gamma 90.00
loop_
_atom_site_label
_atom_site_fract_x
_atom_site_fract_y
_atom_site_fract_z
_atom_site_occupancy
Li1 0.0000 0.0530 0.2500 1
V1 0.0000 0.3201 0.2500 1
F1 0.2363 0.1940 0.0736 1
F2 0.2497 0.0675 0.5827 1
# polymorph energy (0 for the lowest one): 1 meV/atom
# E_form (uncorrected): -19.30 eV per formula unit
# spin magnetization: 8.00 μB/cell

=====

Entry 3:
# meta-GGA SCAN Pb2CO3F2, single point on PBEsol structure
data_Pb2CO3F2
_space_group_name_H-M_alt 'P b c n'
_space_group_IT_number 60
_space_group_name_Hall '-P 2n 2ab'
_cell_length_a 8.0461
_cell_length_b 8.2783
_cell_length_c 6.7777
_cell_angle_alpha 90.00
_cell_angle_beta 90.00
_cell_angle_gamma 90.00
loop_
_atom_site_label
_atom_site_fract_x
_atom_site_fract_y
_atom_site_fract_z
_atom_site_occupancy
Pb1 0.1833 0.1598 0.0488 1
C1 0.0000 0.4801 0.7500 1
O1 0.0000 0.3235 0.7500 1
O2 0.1317 0.4419 0.1941 1
F1 0.1136 0.1144 0.3997 1
# E_form (uncorrected): -14.67 eV per formula unit
# spin magnetization: 0.00 μB/cell

=====

Entry 4:
# meta-GGA SCAN BaTl4Br, single point on PBEsol structure
data_BaTl4Br
_space_group_name_H-M_alt 'F -4 3 m'
_space_group_IT_number 216
_space_group_name_Hall 'F -4 2 3'
_cell_length_a 9.0720
_cell_length_b 9.0720
_cell_length_c 9.0720
_cell_angle_alpha 90.00
_cell_angle_beta 90.00
_cell_angle_gamma 90.00
loop_
_atom_site_label
_atom_site_fract_x
_atom_site_fract_y
_atom_site_fract_z
_atom_site_occupancy
Ba1 0.0000 0.0000 0.0000 1
Tl1 0.1246 0.1246 0.3754 1
Br1 0.2500 0.2500 0.7500 1
# E_form (uncorrected): -2.35 eV per formula unit
# spin magnetization: 0.00 μB/cell

=====

Entry 5:
# meta-GGA SCAN BiMo3H, single point on PBEsol structure
data_BiMo3H
_space_group_name_H-M_alt 'P m -3 m'
_space_group_IT_number 221
_space_group_name_Hall '-P 4 2 3'
_cell_length_a 5.0112
_cell_length_b 5.0112
_cell_length_c 5.0112
_cell_angle_alpha 90.00
_cell_angle_beta 90.00
_cell_angle_gamma 90.00
loop_
_atom_site_label
_atom_site_fract_x
_atom_site_fract_y
_atom_site_fract_z
_atom_site_occupancy
Bi1 0.0000 0.0000 0.0000 1
Mo1 0.0000 0.0000 0.5000 1
H1 0.5000 0.5000 0.5000 1
# spin magnetization: 0.01 μB/cell
# raw total energy: -169.86 eV per cell

=====

Entry 6:
# meta-GGA SCAN RuPt2Rh, single point on PBEsol structure
data_RuPt2Rh
_space_group_name_H-M_alt 'P m m 2'
_space_group_IT_number 25
_space_group_name_Hall 'P 2 -2'
_cell_length_a 2.7079
_cell_length_b 3.8336
_cell_length_c 5.4476
_cell_angle_alpha 90.00
_cell_angle_beta 90.00
_cell_angle_gamma 90.00
loop_
_atom_site_label
_atom_site_fract_x
_atom_site_fract_y
_atom_site_fract_z
_atom_site_occupancy
Ru1 0.0000 0.0000 0.0000 1
Pt1 0.0000 0.0000 0.5108 1
Pt2 0.5000 0.5000 0.2489 1
Rh1 0.5000 0.5000 0.7667 1
# polymorph energy (0 for the lowest one): 26 meV/atom
# formation energy: -20.3 meV per atom
# spin magnetization: 0.00 μB/cell

=====

Entry 7:
# meta-GGA SCAN MnAlCl2, single point on PBEsol structure
data_MnAlCl2
_space_group_name_H-M_alt 'R -3 m'
_space_group_IT_number 166
_space_group_name_Hall '-R 3 2"'
_cell_length_a 3.3455
_cell_length_b 3.3455
_cell_length_c 26.0641
_cell_angle_alpha 90.00
_cell_angle_beta 90.00
_cell_angle_gamma 120.00
loop_
_atom_site_label
_atom_site_fract_x
_atom_site_fract_y
_atom_site_fract_z
_atom_site_occupancy
Mn1 0.0000 0.0000 0.0000 1
Al1 0.0000 0.0000 0.5000 1
Cl1 0.0000 0.0000 0.2740 1
# polymorph energy (0 for the lowest one): 0 meV/atom
# E_form (uncorrected): -2.75 eV per formula unit
# spin magnetization: 14.30 μB/cell

=====

Entry 8:
# meta-GGA SCAN CdTc3, single point on PBEsol structure
data_CdTc3
_space_group_name_H-M_alt 'P m -3 m'
_space_group_IT_number 221
_space_group_name_Hall '-P 4 2 3'
_cell_length_a 3.9082
_cell_length_b 3.9082
_cell_length_c 3.9082
_cell_angle_alpha 90.00
_cell_angle_beta 90.00
_cell_angle_gamma 90.00
loop_
_atom_site_label
_atom_site_fract_x
_atom_site_fract_y
_atom_site_fract_z
_atom_site_occupancy
Cd1 0.0000 0.0000 0.0000 1
Tc1 0.0000 0.5000 0.5000 1
# polymorph energy (0 for the lowest one): 355 meV/atom
# formation energy: 550.4 meV per atom
# spin magnetization: 0.00 μB/cell

=====

Entry 9:
# meta-GGA SCAN WBr3, single point on PBEsol structure
data_WBr3
_space_group_name_H-M_alt 'P m -3 m'
_space_group_IT_number 221
_space_group_name_Hall '-P 4 2 3'
_cell_length_a 4.4354
_cell_length_b 4.4354
_cell_length_c 4.4354
_cell_angle_alpha 90.00
_cell_angle_beta 90.00
_cell_angle_gamma 90.00
loop_
_atom_site_label
_atom_site_fract_x
_atom_site_fract_y
_atom_site_fract_z
_atom_site_occupancy
W1 0.0000 0.0000 0.0000 1
Br1 0.0000 0.5000 0.5000 1
# polymorph energy (0 for the lowest one): 1448 meV/atom
# E_form (uncorrected): 5.59 eV per formula unit
# spin magnetization: 3.05 μB/cell

=====

Entry 10:
# meta-GGA SCAN CaTlB2, single point on PBEsol structure
data_CaTlB2
_space_group_name_H-M_alt 'I 41/a m d'
_space_group_IT_number 141
_cell_length_a 4.2306
_cell_length_b 4.2306
_cell_length_c 16.2103
_cell_angle_alpha 90.00
_cell_angle_beta 90.00
_cell_angle_gamma 90.00
loop_
_space_group_symop_operation_xyz
'x,y,z'
'-x,-y,-z'
'-y+1/4,x+3/4,z+1/4'
'y+1/4,-x+3/4,-z+1/4'
'-x+1/2,-y,z+1/2'
'x+1/2,y,-z+1/2'
'y+1/4,-x+1/4,z+3/4'
'-y+1/4,x+1/4,-z+3/4'
'x,-y,-z'
'-x,y,z'
'-y+1/4,-x+1/4,-z+3/4'
'y+1/4,x+1/4,z+3/4'
'-x+1/2,y,-z+1/2'
'x+1/2,-y,z+1/2'
'y+1/4,x+3/4,-z+1/4'
'-y+1/4,-x+3/4,z+1/4'
'x+1/2,y+1/2,z+1/2'
'-x+1/2,-y+1/2,-z+1/2'
'-y+3/4,x+1/4,z+3/4'
'y+3/4,-x+1/4,-z+3/4'
'-x,-y+1/2,z'
'x,y+1/2,-z'
'y+3/4,-x+3/4,z+1/4'
'-y+3/4,x+3/4,-z+1/4'
'x+1/2,-y+1/2,-z+1/2'
'-x+1/2,y+1/2,z+1/2'
'-y+3/4,-x+3/4,-z+1/4'
'y+3/4,x+3/4,z+1/4'
'-x,y+1/2,-z'
'x,-y+1/2,z'
'y+3/4,x+1/4,-z+3/4'
'-y+3/4,-x+1/4,z+3/4'
loop_
_atom_site_label
_atom_site_fract_x
_atom_site_fract_y
_atom_site_fract_z
_atom_site_occupancy
Ca1 0.0000 0.2500 0.3750 1
Tl1 0.0000 0.2500 0.8750 1
B1 0.0000 0.0000 0.0000 1
# polymorph energy (0 for the lowest one): 0 meV/atom
# formation energy: 897.0 meV per atom
# spin magnetization: 0.00 μB/cell

=====

Entry 11:
# meta-GGA SCAN TlBiAuBr2, single point on PBEsol structure
data_TlBiAuBr2
_space_group_name_H-M_alt 'P 4/m m m'
_space_group_IT_number 123
_space_group_name_Hall '-P 4 2'
_cell_length_a 5.4646
_cell_length_b 5.4646
_cell_length_c 6.3454
_cell_angle_alpha 90.00
_cell_angle_beta 90.00
_cell_angle_gamma 90.00
loop_
_atom_site_label
_atom_site_fract_x
_atom_site_fract_y
_atom_site_fract_z
_atom_site_occupancy
Tl1 0.0000 0.0000 0.0000 1
Bi1 0.0000 0.0000 0.5000 1
Au1 0.5000 0.5000 0.0000 1
Br1 0.0000 0.5000 0.5000 1
# E_form (uncorrected): 1.11 eV per formula unit
# spin magnetization: 0.00 μB/cell

=====

Entry 12:
# meta-GGA SCAN YGeTeI2, single point on PBEsol structure
data_YGeTeI2
_space_group_name_H-M_alt 'P 4/m m m'
_space_group_IT_number 123
_space_group_name_Hall '-P 4 2'
_cell_length_a 5.4210
_cell_length_b 5.4210
_cell_length_c 5.5679
_cell_angle_alpha 90.00
_cell_angle_beta 90.00
_cell_angle_gamma 90.00
loop_
_atom_site_label
_atom_site_fract_x
_atom_site_fract_y
_atom_site_fract_z
_atom_site_occupancy
Y1 0.0000 0.0000 0.0000 1
Ge1 0.5000 0.5000 0.5000 1
Te1 0.5000 0.5000 0.0000 1
I1 0.0000 0.5000 0.5000 1
# E_form (uncorrected): -0.41 eV per formula unit
# spin magnetization: 0.86 μB/cell

=====

Q: Number 1 is which compound?
A: NaBH4O4